Run i
VASP calculation (PBE-GGA) on crystalline LiTl6In3 at its relaxed geometry.

abc: 8.323 8.323 8.323
angles: 90.94 90.94 90.94
Sites, in units of the cell vectors:
Li: 0.000 0.000 0.000
Li: 0.500 0.500 0.500
Tl: 0.009 0.332 0.899
Tl: 0.101 0.991 0.668
Tl: 0.120 0.356 0.435
Tl: 0.332 0.899 0.009
Tl: 0.356 0.435 0.120
Tl: 0.435 0.120 0.356
Tl: 0.565 0.880 0.644
Tl: 0.644 0.565 0.880
Tl: 0.668 0.101 0.991
Tl: 0.880 0.644 0.565
Tl: 0.899 0.009 0.332
Tl: 0.991 0.668 0.101
In: 0.248 0.613 0.750
In: 0.250 0.752 0.387
In: 0.387 0.250 0.752
In: 0.613 0.750 0.248
In: 0.750 0.248 0.613
In: 0.752 0.387 0.250

Output
SG: R-3, No. 148
Spin magnetization (μB per formula unit): 0.00
N(E_F) (states/eV per cell): 9.90

---

Run ii
VASP calculation (PBE-GGA) on crystalline LiTl6In3 at its relaxed geometry.

abc: 8.478 5.606 12.510
angles: 90.00 107.94 90.00
Sites, in units of the cell vectors:
Li: 0.096 0.250 0.075
Li: 0.904 0.750 0.925
Tl: 0.068 0.750 0.197
Tl: 0.083 0.250 0.583
Tl: 0.256 0.250 0.367
Tl: 0.274 0.750 0.014
Tl: 0.457 0.250 0.165
Tl: 0.487 0.750 0.337
Tl: 0.513 0.250 0.663
Tl: 0.543 0.750 0.835
Tl: 0.726 0.250 0.986
Tl: 0.744 0.750 0.633
Tl: 0.917 0.750 0.417
Tl: 0.932 0.250 0.803
In: 0.142 0.750 0.743
In: 0.317 0.750 0.547
In: 0.332 0.250 0.876
In: 0.668 0.750 0.124
In: 0.683 0.250 0.453
In: 0.858 0.250 0.257

Output
SG: P2_1/m, No. 11
Spin magnetization (μB per formula unit): 0.00
N(E_F) (states/eV per cell): 5.96

---

Most stable structure: run ii

---

Run i
VASP calculation (PBE-GGA) on crystalline Li2TlIn8 at its relaxed geometry.

abc: 8.637 8.637 9.090
angles: 121.19 121.19 29.39
Sites, in units of the cell vectors:
Li: 0.186 0.186 0.186
Li: 0.814 0.814 0.814
Tl: 0.500 0.500 0.500
In: 0.000 0.000 0.175
In: 0.000 0.000 0.825
In: 0.167 0.167 0.670
In: 0.338 0.338 0.606
In: 0.339 0.339 0.070
In: 0.661 0.661 0.930
In: 0.662 0.662 0.394
In: 0.833 0.833 0.330

Output
SG: C2/m, No. 12
Spin magnetization (μB per formula unit): 0.00
N(E_F) (states/eV per cell): 4.74

---

Run ii
VASP calculation (PBE-GGA) on crystalline Li2TlIn8 at its relaxed geometry.

abc: 7.572 7.572 5.672
angles: 97.98 97.98 115.27
Sites, in units of the cell vectors:
Li: 0.193 0.807 0.000
Li: 0.807 0.193 0.000
Tl: 0.500 0.500 0.500
In: 0.098 0.098 0.296
In: 0.182 0.422 0.878
In: 0.246 0.754 0.500
In: 0.422 0.182 0.878
In: 0.578 0.818 0.122
In: 0.754 0.246 0.500
In: 0.818 0.578 0.122
In: 0.902 0.902 0.704

Output
SG: C2/m, No. 12
Spin magnetization (μB per formula unit): 0.00
N(E_F) (states/eV per cell): 2.61

---

Most stable structure: run i

---

Run i
VASP calculation (PBE-GGA) on crystalline Li6Tl2In at its relaxed geometry.

abc: 8.268 8.268 3.074
angles: 90.00 90.00 120.00
Sites, in units of the cell vectors:
Li: 0.000 0.307 0.000
Li: 0.000 0.643 0.500
Li: 0.307 0.000 0.000
Li: 0.357 0.357 0.500
Li: 0.643 0.000 0.500
Li: 0.693 0.693 0.000
Tl: 0.333 0.667 0.000
Tl: 0.667 0.333 0.000
In: 0.000 0.000 0.500

Output
SG: P-62m, No. 189
Spin magnetization (μB per formula unit): 0.00
N(E_F) (states/eV per cell): 4.76

---

Run ii
VASP calculation (PBE-GGA) on crystalline Li6Tl2In at its relaxed geometry.

abc: 8.463 8.463 8.463
angles: 159.56 122.36 61.82
Sites, in units of the cell vectors:
Li: 0.007 0.834 0.173
Li: 0.324 0.000 0.324
Li: 0.339 0.166 0.173
Li: 0.661 0.834 0.827
Li: 0.676 0.000 0.676
Li: 0.993 0.166 0.827
Tl: 0.344 0.344 0.000
Tl: 0.656 0.656 0.000
In: 0.000 0.500 0.500

Output
SG: Immm, No. 71
Spin magnetization (μB per formula unit): 0.00
N(E_F) (states/eV per cell): 3.70

---

Most stable structure: run ii

---

Run i
VASP calculation (PBE-GGA) on crystalline Li6TlIn12 at its relaxed geometry.

abc: 7.636 7.636 7.636
angles: 88.24 88.24 88.24
Sites, in units of the cell vectors:
Li: 0.225 0.765 0.609
Li: 0.235 0.391 0.775
Li: 0.391 0.775 0.235
Li: 0.609 0.225 0.765
Li: 0.765 0.609 0.225
Li: 0.775 0.235 0.391
Tl: 0.500 0.500 0.500
In: 0.039 0.934 0.294
In: 0.066 0.706 0.961
In: 0.122 0.478 0.338
In: 0.294 0.039 0.934
In: 0.338 0.122 0.478
In: 0.478 0.338 0.122
In: 0.522 0.662 0.878
In: 0.662 0.878 0.522
In: 0.706 0.961 0.066
In: 0.878 0.522 0.662
In: 0.934 0.294 0.039
In: 0.961 0.066 0.706

Output
SG: R-3, No. 148
Spin magnetization (μB per formula unit): 0.00
N(E_F) (states/eV per cell): 7.61

---

Run ii
VASP calculation (PBE-GGA) on crystalline Li6TlIn12 at its relaxed geometry.

abc: 8.156 8.156 8.156
angles: 106.13 106.13 106.13
Sites, in units of the cell vectors:
Li: 0.077 0.319 0.355
Li: 0.319 0.355 0.077
Li: 0.355 0.077 0.319
Li: 0.645 0.923 0.681
Li: 0.681 0.645 0.923
Li: 0.923 0.681 0.645
Tl: 0.500 0.500 0.500
In: 0.041 0.089 0.697
In: 0.089 0.697 0.041
In: 0.230 0.741 0.483
In: 0.259 0.517 0.770
In: 0.303 0.959 0.911
In: 0.483 0.230 0.741
In: 0.517 0.770 0.259
In: 0.697 0.041 0.089
In: 0.741 0.483 0.230
In: 0.770 0.259 0.517
In: 0.911 0.303 0.959
In: 0.959 0.911 0.303

Output
SG: R-3, No. 148
Spin magnetization (μB per formula unit): 0.00
N(E_F) (states/eV per cell): 8.02

---

Most stable structure: run i